# 1
Material: Dy3Ho2Er5
Method: DFT, PBE
State: optimized geometry

abc: 12.669 16.782 6.196
angles: 90.00 90.00 90.00
Space group Ibam (No. 72)
Unique sites:
Dy: 0.000 0.000 0.250
Dy: 0.159 0.249 0.000
Ho: 0.100 0.157 0.500
Er: 0.000 0.500 0.250
Er: 0.099 0.344 0.500
Er: 0.249 0.500 0.250

E above lowest polymorph = 0.154 eV/atom
Total moment = 0.00 μB/f.u.
Formation enthalpy at 0 K = 0.358 eV per atom


# 2
Material: Dy3Ho2Er6
Method: DFT, PBE
State: optimized geometry

abc: 3.5130 3.5130 94.3339
angles: 90.00 90.00 120.00
Space group R-3m (No. 166, hexagonal axes)
Unique sites:
Dy: 0.0000 0.0000 0.0000
Dy: 0.0000 0.0000 0.2726
Ho: 0.0000 0.0000 0.4547
Er: 0.0000 0.0000 0.0911
Er: 0.0000 0.0000 0.1817
Er: 0.0000 0.0000 0.3637

E above lowest polymorph = 0.000 eV/atom
Total moment = 0.00 μB/f.u.
Formation enthalpy at 0 K = 0.022 eV per atom


# 3
Material: Dy8HoEr3
Method: DFT, PBE
State: optimized geometry

abc: 7.625 7.625 15.249
angles: 90.00 90.00 90.00
Space group I4/mmm (No. 139)
Unique sites:
Dy: 0.250 0.250 0.125
Ho: 0.000 0.000 0.000
Er: 0.000 0.000 0.500
Er: 0.000 0.500 0.250

Total moment = 0.00 μB/f.u.
Formation enthalpy at 0 K = 0.723 eV per atom


# 4
Material: Dy2Ho5Er4
Method: DFT, PBE
State: optimized geometry

abc: 3.460 8.908 22.946
angles: 90.00 90.00 90.00
Space group Immm (No. 71)
Unique sites:
Dy: 0.000 0.000 0.231
Ho: 0.000 0.198 0.356
Ho: 0.000 0.500 0.000
Er: 0.000 0.000 0.097
Er: 0.000 0.310 0.500

E above lowest polymorph = 0.131 eV/atom
Total moment = 0.00 μB/f.u.
Formation enthalpy at 0 K = 0.230 eV per atom


# 5
Material: Dy2Ho3Er7
Method: DFT, PBE
State: optimized geometry

abc: 5.613 37.223 3.554
angles: 90.00 90.00 90.00
Space group Cmmm (No. 65)
Unique sites:
Dy: 0.000 0.147 0.000
Ho: 0.000 0.315 0.500
Ho: 0.000 0.500 0.500
Er: 0.000 0.000 0.000
Er: 0.000 0.072 0.500
Er: 0.000 0.231 0.000
Er: 0.000 0.409 0.000

E above lowest polymorph = 0.000 eV/atom
Total moment = 0.00 μB/f.u.
Formation enthalpy at 0 K = 0.114 eV per atom


# 6
Material: Dy4Ho8Er3
Method: DFT, PBE
State: optimized geometry

abc: 6.8585 6.8585 34.8997
angles: 90.00 90.00 120.00
Space group R-3m (No. 166, hexagonal axes)
Unique sites:
Dy: 0.0000 0.0000 0.0000
Dy: 0.0000 0.0000 0.1636
Dy: 0.0000 0.0000 0.5000
Ho: 0.0000 0.0000 0.2550
Ho: 0.0018 0.5009 0.2506
Er: 0.0000 0.5000 0.0000

E above lowest polymorph = 0.000 eV/atom
Total moment = 0.00 μB/f.u.
Formation enthalpy at 0 K = 0.143 eV per atom


# 7
Material: DyHoEr
Method: DFT, PBE
State: optimized geometry

abc: 5.5494 5.5494 3.4518
angles: 90.00 90.00 120.00
Space group P3m1 (No. 156)
Unique sites:
Dy: 0.0000 0.0000 0.0000
Ho: 0.6667 0.3333 0.5010
Er: 0.3333 0.6667 0.0021

E above lowest polymorph = 0.051 eV/atom
Total moment = 0.00 μB/f.u.
Formation enthalpy at 0 K = 0.073 eV per atom


# 8
Material: DyHo6Er6
Method: DFT, PBE
State: optimized geometry

abc: 6.5520 6.5520 11.2969
angles: 90.00 90.00 120.00
Space group P6/mmm (No. 191)
Unique sites:
Dy: 0.0000 0.0000 0.0000
Ho: 0.0000 0.5000 0.2429
Er: 0.0000 0.0000 0.3481
Er: 0.3333 0.6667 0.0000
Er: 0.3333 0.6667 0.5000

Total moment = 2.08 μB/f.u.
Formation enthalpy at 0 K = 0.296 eV per atom